Run a
{
  "formula": "SmEr2Os",
  "functional": "PBE",
  "state": "optimized geometry",
  "lattice": [[3.9599, 0.0000, 0.0000], [0.0000, 12.0442, 0.0000], [0.0000, 0.0000, 8.9860]],
  "species": ["Sm", "Sm", "Sm", "Sm", "Er", "Er", "Er", "Er", "Er", "Er", "Er", "Er", "Os", "Os", "Os", "Os"],
  "frac_coords": [[0.0000, 0.0734, 0.2500], [0.0000, 0.9266, 0.7500], [0.5000, 0.4266, 0.7500], [0.5000, 0.5734, 0.2500], [0.0000, 0.3528, 0.0668], [0.0000, 0.3528, 0.4332], [0.0000, 0.6472, 0.5668], [0.0000, 0.6472, 0.9332], [0.5000, 0.1472, 0.5668], [0.5000, 0.1472, 0.9332], [0.5000, 0.8528, 0.0668], [0.5000, 0.8528, 0.4332], [0.0000, 0.2563, 0.7500], [0.0000, 0.7437, 0.2500], [0.5000, 0.2437, 0.2500], [0.5000, 0.7563, 0.7500]],
  "sg": "No. 63",
  "crystal_system": "orthorhombic",
  "magnetic_moment_mub_per_cell": 0.00
}

---

Run b
{
  "formula": "SmEr2Os",
  "functional": "PBE",
  "state": "optimized geometry",
  "lattice": [[3.4193, 0.0000, 0.0000], [-1.7097, 2.9612, 0.0000], [0.0000, 0.0000, 32.7456]],
  "species": ["Sm", "Sm", "Sm", "Er", "Er", "Er", "Er", "Er", "Er", "Os", "Os", "Os"],
  "frac_coords": [[0.0000, 0.0000, 0.0000], [0.3333, 0.6667, 0.6667], [0.6667, 0.3333, 0.3333], [0.0000, 0.0000, 0.1060], [0.0000, 0.0000, 0.8940], [0.3333, 0.6667, 0.5607], [0.3333, 0.6667, 0.7726], [0.6667, 0.3333, 0.2274], [0.6667, 0.3333, 0.4393], [0.0000, 0.0000, 0.5000], [0.3333, 0.6667, 0.1667], [0.6667, 0.3333, 0.8333]],
  "sg": "No. 166",
  "crystal_system": "trigonal",
  "magnetic_moment_mub_per_cell": 0.01
}

---

Run c
{
  "formula": "SmEr2Os",
  "functional": "PBE",
  "state": "optimized geometry",
  "lattice": [[3.3936, 0.0000, 0.0000], [0.0000, 3.3936, 0.0000], [0.0000, 0.0000, 9.1727]],
  "species": ["Sm", "Er", "Er", "Os"],
  "frac_coords": [[0.0000, 0.0000, 0.0000], [0.5000, 0.5000, 0.3217], [0.5000, 0.5000, 0.6783], [0.0000, 0.0000, 0.5000]],
  "sg": "No. 123",
  "crystal_system": "tetragonal",
  "magnetic_moment_mub_per_cell": 0.00
}

---

run a has the most favorable energy; the next structure is 65 meV/atom above.

---

Run a
{
  "formula": "ErTaOs2",
  "functional": "PBE",
  "state": "optimized geometry",
  "lattice": [[6.5317, 0.0000, 0.0000], [0.0000, 6.5317, 0.0000], [0.0000, 0.0000, 6.5317]],
  "species": ["Er", "Er", "Er", "Er", "Ta", "Ta", "Ta", "Ta", "Os", "Os", "Os", "Os", "Os", "Os", "Os", "Os"],
  "frac_coords": [[0.0000, 0.0000, 0.0000], [0.0000, 0.5000, 0.5000], [0.5000, 0.0000, 0.5000], [0.5000, 0.5000, 0.0000], [0.0000, 0.0000, 0.5000], [0.0000, 0.5000, 0.0000], [0.5000, 0.0000, 0.0000], [0.5000, 0.5000, 0.5000], [0.2500, 0.2500, 0.2500], [0.2500, 0.2500, 0.7500], [0.2500, 0.7500, 0.2500], [0.2500, 0.7500, 0.7500], [0.7500, 0.2500, 0.2500], [0.7500, 0.2500, 0.7500], [0.7500, 0.7500, 0.2500], [0.7500, 0.7500, 0.7500]],
  "sg": "No. 225",
  "crystal_system": "cubic",
  "magnetic_moment_mub_per_cell": 0.00
}

---

Run b
{
  "formula": "ErTaOs2",
  "functional": "PBE",
  "state": "optimized geometry",
  "lattice": [[3.2117, 0.0000, 0.0000], [0.0000, 3.2117, 0.0000], [0.0000, 0.0000, 6.8757]],
  "species": ["Er", "Ta", "Os", "Os"],
  "frac_coords": [[0.0000, 0.0000, 0.0000], [0.0000, 0.0000, 0.5000], [0.5000, 0.5000, 0.2777], [0.5000, 0.5000, 0.7223]],
  "sg": "No. 123",
  "crystal_system": "tetragonal",
  "magnetic_moment_mub_per_cell": 0.00
}

---

run b has the most favorable energy; the next structure is 60 meV/atom above.